# 1
{"formula": "Ba2ZnN", "functional": "GGA-PBE", "state": "optimized geometry", "e_above_lowest_polymorph_mev_per_atom": 0.0, "dft_energy_ha_per_atom": -0.1341, "lattice_angstrom": [[-1.921, -4.033, -3.395], [-3.974, -3.256, 6.116], [-8.680, 6.133, -2.375]], "species": ["Zn", "Zn", "Zn", "Zn", "Ba", "Ba", "Ba", "Ba", "Ba", "Ba", "Ba", "Ba", "N", "N", "N", "N"], "fractional_positions": [[0.750, 0.785, 0.089], [0.750, 0.285, 0.411], [0.250, 0.715, 0.589], [0.250, 0.215, 0.911], [0.750, 0.866, 0.420], [0.250, 0.042, 0.198], [0.750, 0.958, 0.802], [0.750, 0.458, 0.698], [0.750, 0.366, 0.080], [0.250, 0.542, 0.302], [0.250, 0.134, 0.580], [0.250, 0.634, 0.920], [0.750, 0.667, 0.932], [0.250, 0.833, 0.432], [0.250, 0.333, 0.068], [0.750, 0.167, 0.568]]}


# 2
{"formula": "BaZn2N2", "functional": "GGA-PBE", "state": "optimized geometry", "dft_energy_ha_per_atom": -0.1605, "lattice_angstrom": [[-3.333, 3.333, 4.118], [3.333, -3.333, 4.118], [3.333, 3.333, -4.118]], "species": ["Zn", "Zn", "Zn", "Zn", "N", "N", "N", "N", "Ba", "Ba"], "fractional_positions": [[0.135, 0.365, 0.500], [0.865, 0.635, 0.500], [0.635, 0.135, 0.770], [0.365, 0.865, 0.230], [0.663, 0.837, 0.500], [0.163, 0.663, 0.826], [0.837, 0.337, 0.174], [0.337, 0.163, 0.500], [0.750, 0.750, 0.000], [0.250, 0.250, 0.000]]}


# 3
{"formula": "Ba2ZnN", "functional": "GGA-PBE", "state": "optimized geometry", "e_above_lowest_polymorph_mev_per_atom": 188.7, "dft_energy_ha_per_atom": -0.1272, "lattice_angstrom": [[7.855, 0.000, 0.000], [0.000, 7.855, 0.000], [3.928, 3.928, 4.504]], "species": ["Zn", "Zn", "N", "N", "Ba", "Ba", "Ba", "Ba"], "fractional_positions": [[0.750, 0.250, 0.500], [0.000, 0.000, 0.000], [0.250, 0.750, 0.500], [0.500, 0.500, 0.000], [0.214, 0.625, 0.250], [0.536, 0.125, 0.250], [0.375, 0.464, 0.750], [0.875, 0.786, 0.750]]}


# 4
{"formula": "BaZn3N", "functional": "GGA-PBE", "state": "optimized geometry", "e_above_lowest_polymorph_mev_per_atom": 0.0, "dft_energy_ha_per_atom": -0.0839, "lattice_angstrom": [[-0.641, -3.234, -3.334], [3.597, 1.783, -2.421], [2.938, -2.889, 2.238]], "species": ["N", "Zn", "Zn", "Zn", "Ba"], "fractional_positions": [[0.000, 0.000, 0.000], [0.000, 0.000, 0.500], [0.000, 0.500, 0.000], [0.500, 0.000, 0.000], [0.500, 0.500, 0.500]]}


# 5
{"formula": "BaZr2ZnN4", "functional": "GGA-PBE", "state": "optimized geometry", "dft_energy_ha_per_atom": -0.2845, "lattice_angstrom": [[3.413, 0.000, 0.000], [-1.706, 5.753, 0.000], [0.000, 0.000, 11.635]], "species": ["N", "N", "N", "N", "N", "N", "N", "N", "Ba", "Ba", "Zn", "Zn", "Zr", "Zr", "Zr", "Zr"], "fractional_positions": [[0.000, 0.000, 0.500], [0.744, 0.488, 0.901], [0.256, 0.512, 0.099], [0.256, 0.512, 0.401], [0.744, 0.488, 0.599], [0.000, 0.000, 0.000], [0.580, 0.160, 0.250], [0.420, 0.840, 0.750], [0.099, 0.199, 0.750], [0.901, 0.801, 0.250], [0.169, 0.338, 0.250], [0.831, 0.662, 0.750], [0.635, 0.270, 0.451], [0.365, 0.730, 0.549], [0.635, 0.270, 0.049], [0.365, 0.730, 0.951]]}


# 6
{"formula": "BaZrZnN3", "functional": "GGA-PBE", "state": "optimized geometry", "dft_energy_ha_per_atom": -0.2455, "lattice_angstrom": [[-1.870, -2.896, -0.441], [0.956, 0.501, -7.344], [6.100, -4.367, 2.816]], "species": ["Zr", "Zr", "N", "N", "N", "N", "N", "N", "Ba", "Ba", "Zn", "Zn"], "fractional_positions": [[0.750, 0.338, 0.864], [0.250, 0.662, 0.136], [0.750, 0.858, 0.133], [0.750, 0.462, 0.138], [0.250, 0.808, 0.462], [0.250, 0.142, 0.867], [0.750, 0.192, 0.538], [0.250, 0.538, 0.862], [0.250, 0.204, 0.231], [0.750, 0.796, 0.769], [0.250, 0.102, 0.608], [0.750, 0.898, 0.392]]}


# 7
{"formula": "Ba2ZrN", "functional": "GGA-PBE", "state": "optimized geometry", "dft_energy_ha_per_atom": -0.1972, "lattice_angstrom": [[11.372, 0.000, 0.000], [0.000, 11.372, 0.000], [5.686, 5.686, 2.139]], "species": ["N", "N", "Ba", "Ba", "Ba", "Ba", "Zr", "Zr"], "fractional_positions": [[0.250, 0.750, 0.500], [0.500, 0.500, 0.000], [0.457, 0.125, 0.250], [0.875, 0.707, 0.750], [0.375, 0.543, 0.750], [0.293, 0.625, 0.250], [0.000, 0.000, 0.000], [0.750, 0.250, 0.500]]}


# 8
{"formula": "BaZrN2", "functional": "GGA-PBE", "state": "optimized geometry", "dft_energy_ha_per_atom": -0.2924, "lattice_angstrom": [[-3.684, 1.573, 4.509], [0.339, -5.595, 2.228], [1.810, -0.830, 5.803]], "species": ["Ba", "Ba", "N", "N", "N", "N", "Zr", "Zr"], "fractional_positions": [[0.000, 0.000, 0.000], [0.750, 0.250, 0.500], [0.875, 0.783, 0.750], [0.375, 0.467, 0.750], [0.217, 0.625, 0.250], [0.533, 0.125, 0.250], [0.250, 0.750, 0.500], [0.500, 0.500, 0.000]]}